Below is a relaxed In4TeOs crystal, with properties calculated at the GGA-PBE level.

Cell and atoms, written as CIF:
```
data_In4TeOs
_chemical_formula_sum 'In16 Te4 Os4'
_cell_length_a 8.4464
_cell_length_b 8.4464
_cell_length_c 8.4464
_cell_angle_alpha 90.00
_cell_angle_beta 90.00
_cell_angle_gamma 90.00
_space_group_name_H-M_alt 'F -4 3 m'
_space_group_IT_number 216
_space_group_name_Hall 'F -4 2 3'
loop_
_atom_site_label
_atom_site_type_symbol
_atom_site_fract_x
_atom_site_fract_y
_atom_site_fract_z
_atom_site_occupancy
In1 In 0.1244 0.1244 0.1244 1
Te1 Te 0.0000 0.0000 0.5000 1
Os1 Os 0.2500 0.2500 0.7500 1
```

- ΔE_f (raw): 515 kJ/mol of formula units
- Spin magnetization: 9.71 Bohr magnetons per cell
- Volume: 603 Å³/cell


Below is a relaxed ErTa4N8 crystal, with properties calculated at the GGA-PBE level.

Cell and atoms, written as CIF:
```
data_ErTa4N8
_chemical_formula_sum 'Er3 Ta12 N24'
_cell_length_a 6.2144
_cell_length_b 6.2144
_cell_length_c 16.6695
_cell_angle_alpha 90.00
_cell_angle_beta 90.00
_cell_angle_gamma 120.00
_space_group_name_H-M_alt 'R -3 m'
_space_group_IT_number 166
_space_group_name_Hall '-R 3 2"'
loop_
_atom_site_label
_atom_site_type_symbol
_atom_site_fract_x
_atom_site_fract_y
_atom_site_fract_z
_atom_site_occupancy
Er1 Er 0.0000 0.0000 0.0000 1
Ta1 Ta 0.0000 0.0000 0.5000 1
Ta2 Ta 0.0000 0.5000 0.5000 1
N1 N 0.0000 0.0000 0.2286 1
N2 N 0.0041 0.5021 0.7663 1
```

- ΔE_f (raw): -1107 kJ/mol of formula units
- Spin magnetization: 0.00 Bohr magnetons per cell
- Volume: 558 Å³/cell


Below is a relaxed Be2Cu3Au3 crystal, with properties calculated at the GGA-PBE level.

Cell and atoms, written as CIF:
```
data_Be2Cu3Au3
_chemical_formula_sum 'Be2 Cu3 Au3'
_cell_length_a 6.3253
_cell_length_b 6.3253
_cell_length_c 3.1110
_cell_angle_alpha 90.00
_cell_angle_beta 90.00
_cell_angle_gamma 120.00
_space_group_name_H-M_alt 'P -6 2 m'
_space_group_IT_number 189
_space_group_name_Hall 'P -6 -2'
loop_
_atom_site_label
_atom_site_type_symbol
_atom_site_fract_x
_atom_site_fract_y
_atom_site_fract_z
_atom_site_occupancy
Be1 Be 0.3333 0.6667 0.0000 1
Cu1 Cu 0.0000 0.2384 0.0000 1
Au1 Au 0.0000 0.6005 0.5000 1
```

- Calculated formation energy: -7 kJ per mole of atoms
- Spin magnetization: 0.00 Bohr magnetons per cell
- Offset from the most stable computed form: 0 meV/atom
- Volume: 108 Å³/cell


Below is a relaxed Ba3SnPd2 crystal, with properties calculated at the GGA-PBE level.

Cell and atoms, written as CIF:
```
data_Ba3SnPd2
_chemical_formula_sum 'Ba12 Sn4 Pd8'
_cell_length_a 6.5404
_cell_length_b 13.0162
_cell_length_c 10.6436
_cell_angle_alpha 90.00
_cell_angle_beta 109.92
_cell_angle_gamma 90.00
_space_group_name_H-M_alt 'P 1 21/c 1'
_space_group_IT_number 14
_space_group_name_Hall '-P 2ybc'
loop_
_atom_site_label
_atom_site_type_symbol
_atom_site_fract_x
_atom_site_fract_y
_atom_site_fract_z
_atom_site_occupancy
Ba1 Ba 0.1684 0.2315 0.3255 1
Ba2 Ba 0.2305 0.5965 0.9884 1
Ba3 Ba 0.3077 0.5536 0.6047 1
Sn1 Sn 0.4241 0.6966 0.3359 1
Pd1 Pd 0.1730 0.5158 0.2715 1
Pd2 Pd 0.3262 0.1287 0.6282 1
```

- Calculated formation energy: -55 kJ per mole of atoms
- Spin magnetization: 0.00 Bohr magnetons per cell
- Volume: 852 Å³/cell